Entry from the Alexandria database: crystalline TaGe2W2 at its relaxed geometry (PBE-GGA).

Unit cell a=7.121 b=7.121 c=3.176 alpha=90.00 beta=90.00 gamma=90.00
Fractional coordinates of all 10 atoms:
Ge1 0.351 0.851 0.000
Ge2 0.851 0.649 0.000
Ge3 0.649 0.149 0.000
Ge4 0.149 0.351 0.000
W1 0.145 0.645 0.500
W2 0.645 0.855 0.500
W3 0.855 0.355 0.500
W4 0.355 0.145 0.500
Ta1 0.000 0.000 0.000
Ta2 0.500 0.500 0.000

Values from the calculation:
As for the density: 14310 kg/m3. The symmetry is P4/mbm, No. 127. The energy of formation from the pure elements is 0.19 eV/atom.



Entry from the Alexandria database: crystalline LiY4Tl at its relaxed geometry (PBE-GGA).

Unit cell a=6.438 b=6.438 c=6.438 alpha=60.00 beta=60.00 gamma=60.00
Fractional coordinates of all 6 atoms:
Li1 0.750 0.750 0.750
Y1 0.878 0.374 0.374
Y2 0.374 0.374 0.878
Y3 0.374 0.878 0.374
Y4 0.374 0.374 0.374
Tl1 0.000 0.000 0.000

Values from the calculation:
For the excess energy over the best structure of this formula in the dataset, the calculation gives 0.72 eV/f.u. As for the density: 4989 kg/m3. The symmetry is F-43m, No. 216. The energy of formation from the pure elements is 0.33 eV/atom.



Entry from the Alexandria database: crystalline LiErMgRu at its relaxed geometry (PBE-GGA).

Unit cell a=4.714 b=4.714 c=4.714 alpha=60.00 beta=60.00 gamma=60.00
Fractional coordinates of all 4 atoms:
Ru1 0.750 0.750 0.750
Mg1 0.500 0.500 0.500
Li1 0.250 0.250 0.250
Er1 0.000 0.000 0.000

Values from the calculation:
As for the density: 6714 kg/m3. The symmetry is F-43m, No. 216. The energy of formation from the pure elements is -0.15 eV/atom.



Entry from the Alexandria database: crystalline Li2SnB at its relaxed geometry (PBE-GGA).

Unit cell a=4.316 b=4.316 c=4.316 alpha=60.00 beta=60.00 gamma=60.00
Fractional coordinates of all 4 atoms:
B1 0.000 0.000 0.000
Sn1 0.500 0.500 0.500
Li1 0.250 0.250 0.250
Li2 0.750 0.750 0.750

Values from the calculation:
For the excess energy over the best structure of this formula in the dataset, the calculation gives 0.12 eV/f.u. As for the density: 4187 kg/m3. The symmetry is Fm-3m, No. 225. The energy of formation from the pure elements is 0.44 eV/atom.



Entry from the Alexandria database: crystalline Er2PuIn at its relaxed geometry (PBE-GGA).

Unit cell a=3.471 b=3.471 c=9.086 alpha=90.00 beta=90.00 gamma=90.00
Site moments in Bohr magnetons follow the coordinates.
Fractional coordinates of all 4 atoms:
Er1 0.000 0.000 0.765  0.10
Er2 0.000 0.000 0.235  0.10
In1 0.500 0.500 0.000  -0.03
Pu1 0.500 0.500 0.500  5.43

Values from the calculation:
For the excess energy over the best structure of this formula in the dataset, the calculation gives 0.00 eV/f.u. As for the density: 10517 kg/m3. The symmetry is P4/mmm, No. 123. The energy of formation from the pure elements is -0.15 eV/atom.



Entry from the Alexandria database: crystalline Sb2HRu at its relaxed geometry (PBE-GGA).

Unit cell a=4.532 b=4.532 c=4.532 alpha=60.00 beta=60.00 gamma=60.00
Fractional coordinates of all 4 atoms:
Sb1 0.250 0.250 0.250
Sb2 0.750 0.750 0.750
H1 0.000 0.000 0.000
Ru1 0.500 0.500 0.500

Values from the calculation:
For the excess energy over the best structure of this formula in the dataset, the calculation gives 0.00 eV/f.u. As for the density: 8716 kg/m3. The symmetry is Fm-3m, No. 225.



Entry from the Alexandria database: crystalline TaTi3As at its relaxed geometry (PBE-GGA).

Unit cell a=4.800 b=4.800 c=4.800 alpha=90.00 beta=90.00 gamma=90.00
Site moments in Bohr magnetons follow the coordinates.
Fractional coordinates of all 5 atoms:
As1 0.500 0.500 0.500  -0.04
Ti1 0.000 0.500 0.000  0.51
Ti2 0.000 0.000 0.500  0.35
Ti3 0.500 0.000 0.000  0.77
Ta1 0.000 0.000 0.000  -0.02

Values from the calculation:
For the excess energy over the best structure of this formula in the dataset, the calculation gives 3.45 eV/f.u. As for the density: 5997 kg/m3. The symmetry is Pm-3m, No. 221. The energy of formation from the pure elements is 1.01 eV/atom.



Entry from the Alexandria database: crystalline Eu2SnSe5 at its relaxed geometry (PBE-GGA).

Unit cell a=4.122 b=8.145 c=12.104 alpha=90.00 beta=90.00 gamma=90.00
Site moments in Bohr magnetons follow the coordinates.
Fractional coordinates of all 16 atoms:
Eu1 0.500 0.595 0.175  6.64
Eu2 0.500 0.405 0.825  6.64
Eu3 0.500 0.905 0.675  6.64
Eu4 0.500 0.095 0.325  6.64
Sn1 0.000 0.500 0.500  0.00
Sn2 0.000 0.000 0.000  0.00
Se1 0.000 0.000 0.500  -0.14
Se2 0.000 0.500 0.000  -0.14
Se3 0.000 0.874 0.208  -0.08
Se4 0.000 0.126 0.792  -0.08
Se5 0.000 0.626 0.708  -0.08
Se6 0.000 0.374 0.292  -0.08
Se7 0.500 0.712 0.442  -0.05
Se8 0.500 0.288 0.558  -0.05
Se9 0.500 0.788 0.942  -0.05
Se10 0.500 0.212 0.058  -0.05

Values from the calculation:
As for the density: 6681 kg/m3. The symmetry is Pbam, No. 55. The calculation puts the uncorrected formation energy at -1.143 eV/atom.



Entry from the Alexandria database: crystalline NaSn6Te8 at its relaxed geometry (PBE-GGA).

Unit cell a=4.605 b=11.310 c=11.310 alpha=120.00 beta=90.00 gamma=90.00
Fractional coordinates of all 15 atoms:
Na1 0.500 0.000 0.000
Sn1 0.748 0.659 0.134
Sn2 0.748 0.866 0.525
Sn3 0.748 0.475 0.341
Sn4 0.252 0.341 0.866
Sn5 0.252 0.134 0.475
Sn6 0.252 0.525 0.659
Te1 0.749 0.969 0.289
Te2 0.749 0.711 0.680
Te3 0.749 0.320 0.031
Te4 0.251 0.031 0.711
Te5 0.251 0.289 0.320
Te6 0.251 0.680 0.969
Te7 0.748 0.333 0.667
Te8 0.252 0.667 0.333

Values from the calculation:
For the excess energy over the best structure of this formula in the dataset, the calculation gives 0.00 eV/f.u. As for the density: 5716 kg/m3. The symmetry is P-3, No. 147. The calculation puts the uncorrected formation energy at -0.259 eV/atom.



Entry from the Alexandria database: crystalline Cu4AgTe3O12 at its relaxed geometry (PBE-GGA).

Unit cell a=6.931 b=6.931 c=6.931 alpha=107.57 beta=107.57 gamma=107.57
Site moments in Bohr magnetons follow the coordinates.
Fractional coordinates of all 20 atoms:
Cu1 0.881 0.119 0.500  0.17
Cu2 0.119 0.500 0.881  0.17
Cu3 0.500 0.881 0.119  0.17
Cu4 0.500 0.500 0.500  0.17
Ag1 0.000 0.000 0.000  0.01
Te1 0.569 0.431 0.000  0.00
Te2 0.431 0.000 0.569  0.00
Te3 0.000 0.569 0.431  0.00
O1 0.500 0.327 0.673  0.01
O2 0.900 0.500 0.100  0.01
O3 0.100 0.900 0.500  0.01
O4 0.500 0.100 0.900  0.01
O5 0.354 0.992 0.274  0.02
O6 0.274 0.354 0.992  0.02
O7 0.992 0.274 0.354  0.02
O8 0.646 0.726 0.008  0.02
O9 0.008 0.646 0.726  0.02
O10 0.726 0.008 0.646  0.02
O11 0.673 0.500 0.327  0.01
O12 0.327 0.673 0.500  0.01

Values from the calculation:
As for the density: 5702 kg/m3. The symmetry is R32, No. 155. The calculation puts the uncorrected formation energy at -0.650 eV/atom.



Entry from the Alexandria database: crystalline PrHgAs2 at its relaxed geometry (PBE-GGA).

Unit cell a=4.038 b=4.789 c=4.789 alpha=90.00 beta=90.00 gamma=90.00
Fractional coordinates of all 4 atoms:
Pr1 0.500 0.500 0.500
As1 0.000 0.000 0.500
As2 0.000 0.500 0.000
Hg1 0.500 0.000 0.000

Values from the calculation:
As for the density: 8811 kg/m3. The symmetry is P4/mmm, No. 123. The energy of formation from the pure elements is -0.56 eV/atom.



Entry from the Alexandria database: crystalline HoAg3F7 at its relaxed geometry (PBE-GGA).

Unit cell a=5.644 b=5.644 c=6.548 alpha=67.00 beta=67.00 gamma=87.32
Site moments in Bohr magnetons follow the coordinates.
Fractional coordinates of all 11 atoms:
Ho1 0.953 0.953 0.033  0.00
Ag1 0.775 0.241 0.500  0.25
Ag2 0.501 0.501 0.994  0.22
Ag3 0.241 0.775 0.500  0.25
F1 0.190 0.190 0.096  0.02
F2 0.655 0.127 0.258  0.05
F3 0.901 0.317 0.760  0.05
F4 0.127 0.655 0.258  0.05
F5 0.632 0.632 0.303  0.06
F6 0.317 0.901 0.760  0.05
F7 0.833 0.833 0.786  0.08

Values from the calculation:
As for the density: 5885 kg/m3. The symmetry is Cm, No. 8. The calculation puts the uncorrected formation energy at -2.152 eV/atom.